(1)
# HoLuPu PBE relaxed
data_HoLuPu
_cell_length_a 5.5166
_cell_length_b 5.5166
_cell_length_c 3.2805
_cell_angle_alpha 90.00
_cell_angle_beta 90.00
_cell_angle_gamma 120.00
_space_group_name_H-M_alt 'P 3 m 1'
_space_group_IT_number 156
loop_
_space_group_symop_operation_xyz
'x,y,z'
'-y,x-y,z'
'-x+y,-x,z'
'-y,-x,z'
'-x+y,y,z'
'x,x-y,z'
loop_
_atom_site_label
_atom_site_type_symbol
_atom_site_fract_x
_atom_site_fract_y
_atom_site_fract_z
_atom_site_occupancy
Ho1 Ho 0.0000 0.0000 0.0000 1
Lu1 Lu 0.3333 0.6667 0.4987 1
Pu1 Pu 0.6667 0.3333 0.5012 1
# Formation enthalpy at 0 K = 0.167 eV/atom
# Excess energy over the best structure of this formula in the dataset = 66 meV per atom

=====

(2)
# Er3TiIn3Se8 PBE relaxed
data_Er3TiIn3Se8
_cell_length_a 8.0052
_cell_length_b 8.0052
_cell_length_c 23.1208
_cell_angle_alpha 90.00
_cell_angle_beta 90.00
_cell_angle_gamma 120.00
_space_group_name_H-M_alt 'R -3 m'
_space_group_IT_number 166
_space_group_name_Hall '-R 3 2"'
loop_
_atom_site_label
_atom_site_type_symbol
_atom_site_fract_x
_atom_site_fract_y
_atom_site_fract_z
_atom_site_occupancy
Er1 Er 0.0000 0.5000 0.0000 1
Ti1 Ti 0.0000 0.0000 0.0000 1
In1 In 0.0000 0.5000 0.5000 1
Se1 Se 0.0000 0.0000 0.2631 1
Se2 Se 0.0243 0.5122 0.7333 1
# ΔE_f (raw) = -18.62 eV per formula unit

=====

(3)
# YH2Cl4 PBE relaxed
data_YH2Cl4
_cell_length_a 3.932
_cell_length_b 6.420
_cell_length_c 7.262
_cell_angle_alpha 90.65
_cell_angle_beta 97.97
_cell_angle_gamma 105.30
_space_group_name_H-M_alt 'P 1'
_space_group_IT_number 1
loop_
_space_group_symop_operation_xyz
'x,y,z'
loop_
_atom_site_label
_atom_site_type_symbol
_atom_site_fract_x
_atom_site_fract_y
_atom_site_fract_z
_atom_site_occupancy
Y1 Y 0.000 0.000 0.000 1
H1 H 0.382 0.177 0.240 1
H2 H 0.690 0.533 0.704 1
Cl1 Cl 0.390 0.717 0.061 1
Cl2 Cl 0.528 0.193 0.802 1
Cl3 Cl 0.789 0.723 0.635 1
Cl4 Cl 0.870 0.203 0.274 1
# Energy = -4.074 eV per atom

=====

(4)
# CeNiSn2 PBE relaxed
data_CeNiSn2
_cell_length_a 7.271
_cell_length_b 4.519
_cell_length_c 11.201
_cell_angle_alpha 90.00
_cell_angle_beta 90.00
_cell_angle_gamma 90.00
_space_group_name_H-M_alt 'P n m a'
_space_group_IT_number 62
loop_
_space_group_symop_operation_xyz
'x,y,z'
'-x,-y,-z'
'-x+1/2,-y,z+1/2'
'x+1/2,y,-z+1/2'
'x+1/2,-y+1/2,-z+1/2'
'-x+1/2,y+1/2,z+1/2'
'-x,y+1/2,-z'
'x,-y+1/2,z'
loop_
_atom_site_label
_atom_site_type_symbol
_atom_site_fract_x
_atom_site_fract_y
_atom_site_fract_z
_atom_site_occupancy
Ce1 Ce 0.201 0.250 0.138 1
Ni1 Ni 0.016 0.750 0.360 1
Sn1 Sn 0.120 0.250 0.844 1
Sn2 Sn 0.151 0.250 0.439 1
# Formation enthalpy at 0 K = -0.524 eV/atom
# Excess energy over the best structure of this formula in the dataset = 8 meV per atom

=====

(5)
# K2LaFe PBE relaxed
data_K2LaFe
_cell_length_a 8.227
_cell_length_b 8.227
_cell_length_c 8.227
_cell_angle_alpha 90.00
_cell_angle_beta 90.00
_cell_angle_gamma 90.00
_space_group_name_H-M_alt 'F -4 3 m'
_space_group_IT_number 216
_space_group_name_Hall 'F -4 2 3'
loop_
_atom_site_label
_atom_site_type_symbol
_atom_site_fract_x
_atom_site_fract_y
_atom_site_fract_z
_atom_site_occupancy
K1 K 0.000 0.000 0.000 1
K2 K 0.250 0.250 0.250 1
La1 La 0.250 0.250 0.750 1
Fe1 Fe 0.000 0.000 0.500 1
# Formation enthalpy at 0 K = 0.943 eV/atom
# Excess energy over the best structure of this formula in the dataset = 489 meV per atom

=====

(6)
# HfNbV PBE relaxed
data_HfNbV
_cell_length_a 2.808
_cell_length_b 2.808
_cell_length_c 14.990
_cell_angle_alpha 90.00
_cell_angle_beta 90.00
_cell_angle_gamma 90.00
_space_group_name_H-M_alt 'I 4 m m'
_space_group_IT_number 107
_space_group_name_Hall 'I 4 -2'
loop_
_atom_site_label
_atom_site_type_symbol
_atom_site_fract_x
_atom_site_fract_y
_atom_site_fract_z
_atom_site_occupancy
Hf1 Hf 0.000 0.000 0.000 1
Nb1 Nb 0.000 0.000 0.345 1
V1 V 0.000 0.000 0.178 1
# Formation enthalpy at 0 K = 0.834 eV/atom
# Excess energy over the best structure of this formula in the dataset = 792 meV per atom